No. 1
Material: CuSn2AsSe
Method: DFT, GGA-PBEsol
State: relaxed

Computed properties:
Calculated total energy = -4.007 eV/atom
Space-group type = P4/mmm, No. 123

Unit cell a=4.468 b=5.120 c=5.120 alpha=90.00 beta=90.00 gamma=90.00
Fractional coordinates of all 5 atoms:
As 0.500 0.500 0.500
Cu 0.000 0.000 0.000
Sn 0.000 0.000 0.500
Sn 0.000 0.500 0.000
Se 0.500 0.000 0.000

=====

No. 2
Material: ZnCuAs2Se
Method: DFT, GGA-PBEsol
State: relaxed

Computed properties:
Calculated total energy = -3.058 eV/atom
Space-group type = P4/mmm, No. 123

Unit cell a=4.687 b=4.687 c=4.890 alpha=90.00 beta=90.00 gamma=90.00
Fractional coordinates of all 5 atoms:
As 0.000 0.500 0.000
As 0.500 0.000 0.000
Cu 0.500 0.500 0.500
Zn 0.000 0.000 0.000
Se 0.000 0.000 0.500

=====

No. 3
Material: ZrCuAs2Se
Method: DFT, GGA-PBEsol
State: relaxed

Computed properties:
Calculated total energy = -4.998 eV/atom
Space-group type = P4/mmm, No. 123

Unit cell a=5.045 b=5.125 c=5.125 alpha=90.00 beta=90.00 gamma=90.00
Fractional coordinates of all 5 atoms:
As 0.000 0.000 0.500
As 0.000 0.500 0.000
Cu 0.500 0.500 0.500
Se 0.500 0.000 0.000
Zr 0.000 0.000 0.000